Record 1
# DyTm4Au2

A relaxed DyTm4Au2 crystal (PBE, Alexandria via LeMat-Bulk). Values from VASP.

```
&SYSTEM
  ibrav = 0, nat = 7, ntyp = 3
/
ATOMIC_SPECIES
Au 196.97 Au.upf
Tm 168.93 Tm.upf
Dy 162.50 Dy.upf
ATOMIC_POSITIONS crystal
Au 0.602 0.602 0.195
Tm 0.900 0.900 0.301
Tm 0.701 0.701 0.897
Tm 0.100 0.100 0.699
Tm 0.299 0.299 0.103
Au 0.398 0.398 0.805
Dy 0.500 0.500 0.500
CELL_PARAMETERS angstrom
4.871 0.000 0.000
2.435 4.218 0.000
2.435 1.406 10.005
```

- DFT formation energy (eV per atom) = -0.284
- SG = R-3m
- magnetic moment (μB/f.u.) = 0.0
- volume (A^3/atom) = 29.364

Record 2
# HgRh2O

A relaxed HgRh2O crystal (PBE, Alexandria via LeMat-Bulk). Values from VASP.

```
&SYSTEM
  ibrav = 0, nat = 4, ntyp = 3
/
ATOMIC_SPECIES
Rh 102.91 Rh.upf
O 16.00 O.upf
Hg 200.59 Hg.upf
ATOMIC_POSITIONS crystal
Rh 0.250 0.250 0.250
O 0.000 0.000 0.000
Hg 0.500 0.500 0.500
Rh 0.750 0.750 0.750
CELL_PARAMETERS angstrom
2.986 1.844 2.686
-1.087 0.981 4.170
1.711 -2.337 3.337
```

- E above lowest polymorph (meV/atom) = 607.5
- SG = Fm-3m
- magnetic moment (μB/f.u.) = 3.3
- volume (A^3/atom) = 15.257
- formation energy from raw total energies (eV per atom) = 0.737

Record 3
# Pa2Sn2Sb

A relaxed Pa2Sn2Sb crystal (PBE, Alexandria via LeMat-Bulk). Values from VASP.

```
&SYSTEM
  ibrav = 0, nat = 10, ntyp = 3
/
ATOMIC_SPECIES
Sn 118.71 Sn.upf
Pa 231.04 Pa.upf
Sb 121.76 Sb.upf
ATOMIC_POSITIONS crystal
Sn 0.667 0.333 0.750
Pa 0.667 0.333 0.385
Sn 0.333 0.667 0.250
Sb 0.000 0.000 0.750
Sn 0.000 0.000 0.500
Pa 0.333 0.667 0.885
Sb 0.000 0.000 0.250
Pa 0.667 0.333 0.115
Sn 0.000 0.000 0.000
Pa 0.333 0.667 0.615
CELL_PARAMETERS angstrom
5.113 0.000 0.000
-2.557 4.428 0.000
0.000 0.000 12.078
```

- SG = P6_3/mmc
- magnetic moment (μB/f.u.) = 1.9
- volume (A^3/atom) = 27.348
- formation energy from raw total energies (eV per atom) = -0.003

Record 4
# MgZnN3

A relaxed MgZnN3 crystal (PBE, Alexandria via LeMat-Bulk). Values from VASP.

```
&SYSTEM
  ibrav = 0, nat = 5, ntyp = 3
/
ATOMIC_SPECIES
N 14.01 N.upf
Mg 24.30 Mg.upf
Zn 65.41 Zn.upf
ATOMIC_POSITIONS crystal
N 0.500 0.000 0.000
N 0.000 0.500 0.000
Mg 0.500 0.500 0.500
N 0.000 0.000 0.500
Zn 0.000 0.000 0.000
CELL_PARAMETERS angstrom
-2.176 1.908 -2.542
-3.028 -0.309 2.361
0.965 3.332 1.674
```

- SG = Pm-3m
- magnetic moment (μB/f.u.) = 3.1
- volume (A^3/atom) = 11.431
- formation energy from raw total energies (eV per atom) = 1.517

Record 5
# PdPtPb

A relaxed PdPtPb crystal (PBE, Alexandria via LeMat-Bulk). Values from VASP.

```
&SYSTEM
  ibrav = 0, nat = 12, ntyp = 3
/
ATOMIC_SPECIES
Pt 195.08 Pt.upf
Pb 207.20 Pb.upf
Pd 106.42 Pd.upf
ATOMIC_POSITIONS crystal
Pt 0.000 0.625 0.375
Pb 0.500 0.217 0.783
Pt 0.375 0.625 0.625
Pb 0.283 0.217 0.217
Pb 0.717 0.783 0.783
Pt 0.000 0.375 0.625
Pt 0.625 0.375 0.375
Pd 0.811 0.377 0.000
Pd 0.189 0.623 0.000
Pd 0.811 0.000 0.377
Pd 0.189 0.000 0.623
Pb 0.500 0.783 0.217
CELL_PARAMETERS angstrom
-3.160 -2.570 -1.301
-1.263 -5.017 5.952
-6.685 3.498 2.297
```

- E above lowest polymorph (meV/atom) = 55.7
- DFT formation energy (eV per atom) = -0.071
- SG = I4/mmm
- magnetic moment (μB/f.u.) = 0.0
- volume (A^3/atom) = 20.534

Record 6
# CsYMgSn2

A relaxed CsYMgSn2 crystal (PBE, Alexandria via LeMat-Bulk). Values from VASP.

```
&SYSTEM
  ibrav = 0, nat = 5, ntyp = 4
/
ATOMIC_SPECIES
Mg 24.30 Mg.upf
Y 88.91 Y.upf
Sn 118.71 Sn.upf
Cs 132.91 Cs.upf
ATOMIC_POSITIONS crystal
Mg 0.000 0.000 0.000
Y 0.500 0.500 0.500
Sn 0.500 0.000 0.000
Sn 0.000 0.000 0.500
Cs 0.000 0.500 0.000
CELL_PARAMETERS angstrom
-0.734 4.006 3.746
1.196 -3.686 4.177
5.360 1.324 -0.367
```

- E above lowest polymorph (meV/atom) = 268.9
- DFT formation energy (eV per atom) = 0.432
- SG = P4/mmm
- magnetic moment (μB/f.u.) = 0.0
- volume (A^3/atom) = 34.896

Record 7
# LiAg3Pb3O8

A relaxed LiAg3Pb3O8 crystal (PBE, Alexandria via LeMat-Bulk). Values from VASP.

```
&SYSTEM
  ibrav = 0, nat = 15, ntyp = 4
/
ATOMIC_SPECIES
O 16.00 O.upf
Ag 107.87 Ag.upf
Pb 207.20 Pb.upf
Li 6.94 Li.upf
ATOMIC_POSITIONS crystal
O 0.258 0.516 0.273
Ag 0.000 0.000 0.000
O 0.233 0.466 0.697
Pb 0.500 0.500 0.500
O 0.767 0.038 0.304
O 0.767 0.534 0.303
Ag 0.000 0.500 0.000
Ag 0.500 0.500 0.000
O 0.233 0.962 0.696
Li 0.000 0.000 0.500
O 0.270 0.038 0.304
O 0.730 0.962 0.696
Pb 0.500 0.000 0.500
O 0.742 0.484 0.727
Pb 0.000 0.500 0.500
CELL_PARAMETERS angstrom
6.649 0.000 0.000
-3.324 5.760 -0.013
0.000 -3.812 5.741
```

- SG = C2/m
- magnetic moment (μB/f.u.) = 0.0
- volume (A^3/atom) = 14.638
- formation energy from raw total energies (eV per atom) = -0.634

Record 8
# Rb2LiGeP

A relaxed Rb2LiGeP crystal (PBE, Alexandria via LeMat-Bulk). Values from VASP.

```
&SYSTEM
  ibrav = 0, nat = 5, ntyp = 4
/
ATOMIC_SPECIES
P 30.97 P.upf
Ge 72.64 Ge.upf
Rb 85.47 Rb.upf
Li 6.94 Li.upf
ATOMIC_POSITIONS crystal
P 0.500 0.500 0.500
Ge 0.000 0.000 0.000
Rb 0.000 0.000 0.500
Li 0.000 0.500 0.000
Rb 0.500 0.000 0.000
CELL_PARAMETERS angstrom
6.682 0.000 0.000
0.000 4.979 0.000
0.000 0.000 6.682
```

- DFT formation energy (eV per atom) = 0.518
- SG = P4/mmm
- magnetic moment (μB/f.u.) = 3.7
- volume (A^3/atom) = 44.456